Record 1
Crystalline Cs2CaBS4 at its relaxed geometry, computed with PBE-GGA.

a b c (Å): 6.0224 7.7455 13.3464
angles (deg): 84.97 76.96 67.12
Each line ends with the local moment (μB).
Atoms (fractional coordinates):
Cs: 0.1750 0.0000 0.6500  0.00
Cs: 0.8250 0.0000 0.3500  0.00
Cs: 0.5750 0.5000 0.8500  0.00
Cs: 0.9250 0.5000 0.1500  0.00
Ca: 0.7500 0.5000 0.5000  0.00
Ca: 0.0000 0.0000 0.0000  0.00
B: 0.2500 0.5000 0.5000  -0.01
B: 0.5000 0.0000 0.0000  -0.01
S: 0.3720 0.8342 0.0927  0.14
S: 0.2990 0.1658 0.9073  0.14
S: 0.7938 0.8342 0.9073  0.14
S: 0.5352 0.1658 0.0927  0.14
S: 0.3780 0.6658 0.4073  0.14
S: 0.4510 0.3342 0.5927  0.14
S: 0.9562 0.6658 0.5927  0.14
S: 0.2148 0.3342 0.4073  0.14

Output
Its energy relative to the elements, uncorrected is -0.938 eV per atom. The space group is Fddd.

***

Record 2
Crystalline CsP2RuO at its relaxed geometry, computed with PBE-GGA.

a b c (Å): 5.4040 5.4040 4.1009
angles (deg): 90.00 90.00 90.00
Each line ends with the local moment (μB).
Atoms (fractional coordinates):
Cs: 0.0000 0.0000 0.0000  0.00
Ru: 0.5000 0.5000 0.5000  2.43
O: 0.0000 0.0000 0.5000  -0.01
P: 0.0000 0.5000 0.0000  -0.12
P: 0.5000 0.0000 0.0000  -0.12

Output
Its energy relative to the elements, uncorrected is 2.129 eV per atom. The space group is P4/mmm.

***

Record 3
Crystalline Tl2CrRh at its relaxed geometry, computed with PBE-GGA.

a b c (Å): 4.1151 4.0454 5.4596
angles (deg): 68.30 90.00 90.00
Each line ends with the local moment (μB).
Atoms (fractional coordinates):
Cr: 0.0000 0.6946 0.4835  3.32
Rh: 0.5000 0.5576 0.7623  0.10
Tl: 0.0000 0.9786 0.9199  0.01
Tl: 0.5000 0.2692 0.3342  0.00

Output
Its offset from the most stable computed form is 87 meV per atom. The calculation puts the formation energy at 0.38 eV per atom. The space group is Pm.

***

Record 4
Crystalline SbPdSe2N at its relaxed geometry, computed with PBE-GGA.

a b c (Å): 5.3561 5.3561 3.8398
angles (deg): 90.00 90.00 90.00
Each line ends with the local moment (μB).
Atoms (fractional coordinates):
Sb: 0.0000 0.0000 0.0000  -0.01
Se: 0.0000 0.5000 0.0000  0.03
Se: 0.5000 0.0000 0.0000  0.03
Pd: 0.5000 0.5000 0.5000  0.04
N: 0.0000 0.0000 0.5000  0.09

Output
Its energy relative to the elements, uncorrected is 1.022 eV per atom. Its offset from the most stable computed form is 432 meV per atom. The space group is P4/mmm.

***

Record 5
Crystalline SrTaW2 at its relaxed geometry, computed with PBE-GGA.

a b c (Å): 5.7416 5.7416 2.7339
angles (deg): 90.00 90.00 118.97
Atoms (fractional coordinates):
Sr: 0.5000 0.0000 0.5000
Ta: 0.0000 0.5000 0.5000
W: 0.0000 0.0000 0.0000
W: 0.5000 0.5000 0.0000

Output
Its offset from the most stable computed form is 458 meV per atom. The calculation puts the formation energy at 1.15 eV per atom. The space group is Cmmm.

***

Record 6
Crystalline PmSm10Dy6 at its relaxed geometry, computed with PBE-GGA.

a b c (Å): 6.8775 9.7880 9.7880
angles (deg): 120.00 90.00 90.00
Atoms (fractional coordinates):
Pm: 0.5000 0.0000 0.0000
Sm: 0.8162 0.7243 0.7243
Sm: 0.8162 0.0000 0.2757
Sm: 0.8162 0.2757 0.0000
Sm: 0.1838 0.2757 0.2757
Sm: 0.1838 0.0000 0.7243
Sm: 0.1838 0.7243 0.0000
Sm: 0.5000 0.3333 0.6667
Sm: 0.5000 0.6667 0.3333
Sm: 0.0000 0.6667 0.3333
Sm: 0.0000 0.3333 0.6667
Dy: 0.6951 0.3741 0.3741
Dy: 0.6951 0.0000 0.6259
Dy: 0.6951 0.6259 0.0000
Dy: 0.3049 0.6259 0.6259
Dy: 0.3049 0.0000 0.3741
Dy: 0.3049 0.3741 0.0000

Output
The calculation puts the formation energy at 0.13 eV per atom. The space group is P-31m.

***

Record 7
Crystalline Cu3BW at its relaxed geometry, computed with PBE-GGA.

a b c (Å): 4.7295 4.7295 4.7295
angles (deg): 90.00 90.00 90.00
Atoms (fractional coordinates):
B: 0.5000 0.5000 0.5000
Cu: 0.0000 0.5000 0.0000
Cu: 0.0000 0.0000 0.5000
Cu: 0.5000 0.0000 0.0000
W: 0.0000 0.0000 0.0000

Output
Its offset from the most stable computed form is 1806 meV per atom. The calculation puts the formation energy at 2.47 eV per atom. The space group is Pm-3m.

***

Respective magnetization values: 0.95 2.10 3.81 0.26 0.00 0.00 0.00 μB per formula unit.
Respective V values: 558.8 119.8 84.4 110.2 78.8 570.6 105.8 Å³ per cell.
Respective uncorrected energy values: -0.31605 -0.22434 -0.37119 -0.28664 -0.63998 -0.33443 -0.28741 Ry/atom.